No. 1
Crystalline Tm3Zr3FeSb2 at its relaxed geometry. Source: OQMD, functional PBE-GGA.

Lattice parameters (Å, degrees): 7.853 7.853 4.001 90.00 90.00 120.00
Site moments in Bohr magnetons follow the coordinates.
Fractional coordinates of all 9 atoms:
Zr1 0.772 0.772 0.500  0.09
Zr2 0.228 0.000 0.500  0.10
Zr3 0.000 0.228 0.500  0.11
Sb1 0.667 0.333 0.500  -0.01
Sb2 0.333 0.667 0.500  -0.01
Fe1 0.000 0.000 0.000  1.41
Tm1 0.396 0.396 0.000  0.15
Tm2 0.604 0.000 0.000  0.15
Tm3 0.000 0.604 0.000  0.14

Polymorph energy (0 for the lowest one): 0.0000 eV per atom
Space-group type: P-62m, No. 189
Magnetization: 2.6 μB per formula unit
Crystal system: hexagonal
E_tot: -6.7265 eV/atom

No. 2
Crystalline RbHoHgS3 at its relaxed geometry. Source: OQMD, functional PBE-GGA.

Lattice parameters (Å, degrees): 7.847 7.847 10.678 90.00 90.00 30.40
Fractional coordinates of all 12 atoms:
S1 0.379 0.379 0.038
S2 0.942 0.942 0.750
S3 0.621 0.621 0.538
S4 0.058 0.058 0.250
S5 0.621 0.621 0.962
S6 0.379 0.379 0.462
Hg1 0.445 0.445 0.250
Hg2 0.555 0.555 0.750
Rb1 0.736 0.736 0.250
Rb2 0.264 0.264 0.750
Ho1 0.000 0.000 0.500
Ho2 0.000 0.000 0.000

Polymorph energy (0 for the lowest one): 0.0000 eV per atom
Space-group type: Cmcm, No. 63
Magnetization: 0.0 μB per formula unit
Crystal system: orthorhombic
E_tot: -4.2934 eV/atom

No. 3
Crystalline LiLuSnPt at its relaxed geometry. Source: OQMD, functional PBE-GGA.

Lattice parameters (Å, degrees): 4.723 4.723 4.723 60.00 60.00 60.00
Fractional coordinates of all 4 atoms:
Sn1 0.250 0.250 0.250
Pt1 0.500 0.500 0.500
Lu1 0.000 0.000 0.000
Li1 0.750 0.750 0.750

Polymorph energy (0 for the lowest one): 0.2957 eV per atom
Space-group type: F-43m, No. 216
Magnetization: 0.0 μB per formula unit
Crystal system: cubic
E_tot: -4.7482 eV/atom

No. 4
Crystalline ScAg2 at its relaxed geometry. Source: OQMD, functional PBE-GGA.

Lattice parameters (Å, degrees): 5.492 5.492 5.492 60.00 60.00 60.00
Fractional coordinates of all 6 atoms:
Ag1 0.625 0.625 0.625
Ag2 0.625 0.625 0.125
Ag3 0.125 0.625 0.625
Ag4 0.625 0.125 0.625
Sc1 0.000 0.000 0.000
Sc2 0.250 0.250 0.250

ΔE_f: -0.079 eV per atom
Polymorph energy (0 for the lowest one): 0.2283 eV per atom
Space-group type: Fd-3m, No. 227
Magnetization: 0.0 μB per formula unit
Crystal system: cubic
E_tot: -4.0715 eV/atom

No. 5
Crystalline Pr2Tc at its relaxed geometry. Source: OQMD, functional PBE-GGA.

Lattice parameters (Å, degrees): 8.450 8.450 8.450 60.00 60.00 60.00
Site moments in Bohr magnetons follow the coordinates.
Fractional coordinates of all 6 atoms:
Pr1 0.375 0.875 0.375  0.12
Pr2 0.375 0.375 0.875  0.13
Pr3 0.875 0.375 0.375  0.07
Pr4 0.375 0.375 0.375  0.12
Tc1 0.500 0.500 0.500  -0.01
Tc2 0.250 0.250 0.250  -0.01

ΔE_f: 1.197 eV per atom
Polymorph energy (0 for the lowest one): 0.0000 eV per atom
Space-group type: Fd-3m, No. 227
Magnetization: 0.9 μB per formula unit
Crystal system: cubic
E_tot: -5.4398 eV/atom

No. 6
Crystalline Y3Mg3AlTlCu at its relaxed geometry. Source: OQMD, functional PBE-GGA.

Lattice parameters (Å, degrees): 7.477 7.477 4.384 90.00 90.00 120.00
Fractional coordinates of all 9 atoms:
Y1 0.254 0.323 0.500
Y2 0.070 0.746 0.500
Y3 0.677 0.930 0.500
Al1 0.000 0.000 0.000
Cu1 0.667 0.333 0.500
Mg1 0.901 0.329 0.000
Mg2 0.671 0.572 0.000
Mg3 0.428 0.099 0.000
Tl1 0.333 0.667 0.000

Space-group type: P-6, No. 174
Magnetization: 0.0 μB per formula unit
Crystal system: hexagonal
E_tot: -4.0798 eV/atom